(1)
ZrReNi2 | GGA-PBE | optimized geometry

Results
Relative energy among the computed polymorphs, eV per atom: 0.087
D(E_F), states/eV per cell: 4.12
Formation enthalpy at 0 K, eV/atom: -0.02

Unit cell a=2.753 b=2.753 c=7.587 alpha=90.00 beta=90.00 gamma=90.00
Atoms (fractional coordinates):
Zr1 0.000 0.000 0.000
Re1 0.000 0.000 0.500
Ni1 0.500 0.500 0.273
Ni2 0.500 0.500 0.727

(2)
KSi | GGA-PBE | optimized geometry

Results
Formation energy (no corrections), meV/atom: 1260
Relative energy among the computed polymorphs, eV per atom: 1.332
D(E_F), states/eV per cell: 0.50

Unit cell a=9.828 b=9.828 c=9.828 alpha=90.00 beta=90.00 gamma=90.00
Atoms (fractional coordinates):
K1 0.000 0.250 0.500
K2 0.000 0.750 0.500
K3 0.250 0.500 0.000
K4 0.500 0.000 0.250
K5 0.500 0.000 0.750
K6 0.750 0.500 0.000
Si1 0.000 0.500 0.250
Si2 0.000 0.500 0.750
Si3 0.250 0.000 0.500
Si4 0.500 0.250 0.000
Si5 0.500 0.750 0.000
Si6 0.750 0.000 0.500

(3)
PaCdSi2 | GGA-PBE | optimized geometry

Results
Formation energy (no corrections), meV/atom: -208
D(E_F), states/eV per cell: 2.94

Unit cell a=4.493 b=4.493 c=3.930 alpha=90.00 beta=90.00 gamma=90.00
Atoms (fractional coordinates):
Pa1 0.000 0.000 0.000
Cd1 0.500 0.500 0.000
Si1 0.000 0.500 0.500
Si2 0.500 0.000 0.500

(4)
Tb6SmZn2 | GGA-PBE | optimized geometry

Results
Relative energy among the computed polymorphs, eV per atom: 0.400
D(E_F), states/eV per cell: 15.61
Formation enthalpy at 0 K, eV/atom: 0.26

Unit cell a=13.243 b=13.243 c=13.243 alpha=159.15 beta=159.15 gamma=29.66
Atoms (fractional coordinates):
Tb1 0.108 0.608 0.500
Tb2 0.250 0.750 0.500
Tb3 0.392 0.892 0.500
Tb4 0.608 0.108 0.500
Tb5 0.750 0.250 0.500
Tb6 0.892 0.392 0.500
Sm1 0.000 0.000 0.000
Zn1 0.322 0.322 0.000
Zn2 0.678 0.678 0.000

(5)
SmPt2 | GGA-PBE | optimized geometry

Results
D(E_F), states/eV per cell: 1.79
Formation enthalpy at 0 K, eV/atom: -1.09

Unit cell a=5.488 b=5.488 c=5.488 alpha=60.00 beta=60.00 gamma=60.00
Atoms (fractional coordinates):
Sm1 0.125 0.125 0.125
Sm2 0.875 0.875 0.875
Pt1 0.000 0.500 0.500
Pt2 0.500 0.000 0.500
Pt3 0.500 0.500 0.000
Pt4 0.500 0.500 0.500

(6)
CdPdS2 | GGA-PBE | optimized geometry

Results
Formation energy (no corrections), meV/atom: -249
D(E_F), states/eV per cell: 2.54

Unit cell a=7.026 b=7.026 c=7.026 alpha=132.58 beta=132.58 gamma=69.32
Atoms (fractional coordinates):
Cd1 0.000 0.000 0.000
Cd2 0.750 0.250 0.500
Pd1 0.250 0.750 0.500
Pd2 0.500 0.500 0.000
S1 0.159 0.625 0.034
S2 0.375 0.409 0.534
S3 0.591 0.125 0.966
S4 0.875 0.841 0.466

(7)
ErZrAu | GGA-PBE | optimized geometry

Results
Relative energy among the computed polymorphs, eV per atom: 0.000
D(E_F), states/eV per cell: 7.86
Formation enthalpy at 0 K, eV/atom: -0.48

Unit cell a=4.383 b=4.383 c=7.449 alpha=90.00 beta=90.00 gamma=90.00
Atoms (fractional coordinates):
Er1 0.250 0.250 0.144
Er2 0.750 0.750 0.856
Zr1 0.250 0.750 0.500
Zr2 0.750 0.250 0.500
Au1 0.250 0.250 0.765
Au2 0.750 0.750 0.235

(8)
TaFe8Tc3 | GGA-PBE | optimized geometry

Results
D(E_F), states/eV per cell: 10.85
Formation enthalpy at 0 K, eV/atom: -0.05

Unit cell a=4.661 b=4.661 c=7.734 alpha=90.00 beta=90.00 gamma=120.00
Atoms (fractional coordinates):
Ta1 0.000 0.000 0.000
Fe1 0.163 0.326 0.683
Fe2 0.163 0.837 0.683
Fe3 0.333 0.667 0.434
Fe4 0.333 0.667 0.933
Fe5 0.504 0.007 0.186
Fe6 0.504 0.496 0.186
Fe7 0.674 0.837 0.683
Fe8 0.993 0.496 0.186
Tc1 0.000 0.000 0.372
Tc2 0.667 0.333 0.499
Tc3 0.667 0.333 0.857

(9)
Pa5Fe | GGA-PBE | optimized geometry

Results
Relative energy among the computed polymorphs, eV per atom: 0.000
D(E_F), states/eV per cell: 9.84
Formation enthalpy at 0 K, eV/atom: -0.04

Unit cell a=7.846 b=7.846 c=3.298 alpha=90.00 beta=90.00 gamma=138.25
Atoms (fractional coordinates):
Pa1 0.000 0.000 0.000
Pa2 0.181 0.819 0.500
Pa3 0.365 0.635 0.000
Pa4 0.635 0.365 0.000
Pa5 0.819 0.181 0.500
Fe1 0.500 0.500 0.500

(10)
Sr2Cd2AgPd5 | GGA-PBE | optimized geometry

Results
D(E_F), states/eV per cell: 7.34
Formation enthalpy at 0 K, eV/atom: -0.35

Unit cell a=10.349 b=10.349 c=3.916 alpha=90.00 beta=90.00 gamma=90.00
Atoms (fractional coordinates):
Sr1 0.175 0.325 0.000
Sr2 0.325 0.825 0.000
Sr3 0.675 0.175 0.000
Sr4 0.825 0.675 0.000
Cd1 0.126 0.626 0.000
Cd2 0.374 0.126 0.000
Cd3 0.626 0.874 0.000
Cd4 0.874 0.374 0.000
Ag1 0.000 0.000 0.000
Ag2 0.500 0.500 0.000
Pd1 0.000 0.500 0.500
Pd2 0.058 0.805 0.500
Pd3 0.195 0.058 0.500
Pd4 0.305 0.558 0.500
Pd5 0.442 0.305 0.500
Pd6 0.500 0.000 0.500
Pd7 0.558 0.695 0.500
Pd8 0.695 0.442 0.500
Pd9 0.805 0.942 0.500
Pd10 0.942 0.195 0.500

(11)
TaP2Br | GGA-PBE | optimized geometry

Results
Formation energy (no corrections), meV/atom: -131
Relative energy among the computed polymorphs, eV per atom: 0.228
D(E_F), states/eV per cell: 0.80

Unit cell a=3.514 b=3.420 c=7.976 alpha=90.00 beta=102.12 gamma=90.00
Atoms (fractional coordinates):
Ta1 0.000 0.000 0.000
P1 0.389 0.000 0.766
P2 0.883 0.500 0.756
Br1 0.124 0.500 0.256

(12)
YNiSe | GGA-PBE | optimized geometry

Results
Formation energy (no corrections), meV/atom: -446
Relative energy among the computed polymorphs, eV per atom: 0.603
D(E_F), states/eV per cell: 2.72

Unit cell a=4.618 b=4.618 c=4.618 alpha=60.00 beta=60.00 gamma=60.00
Atoms (fractional coordinates):
Y1 0.000 0.000 0.000
Ni1 0.250 0.250 0.250
Se1 0.750 0.750 0.750

| no. | electronic total energy (eV per formula unit) |
| --- | --- |
| 1 | -32.657 |
| 2 | -4.001 |
| 3 | -22.091 |
| 4 | -32.717 |
| 5 | -20.060 |
| 6 | -15.358 |
| 7 | -17.815 |
| 8 | -111.231 |
| 9 | -56.181 |
| 10 | -37.539 |
| 11 | -24.870 |
| 12 | -17.067 |